A plane-wave DFT calculation with PBE-GGA was carried out for a relaxed structure of Sm2MgSn4.

Cell lengths 4.474, 4.474, 9.869 Å; angles 90.00, 90.00, 90.00 degrees
Space group P-4m2 (No. 115)
Inequivalent atoms, fractional coordinates:
Sm: 0.000 0.500 0.246 x2
Mg: 0.500 0.500 0.000 x1
Sn: 0.000 0.000 0.500 x1
Sn: 0.000 0.500 0.810 x2
Sn: 0.500 0.500 0.500 x1

Properties
energy of formation from the pure elements	-0.3855	eV per atom
spin magnetization	0.0	μB/cell